<P>
## NiOsAu2 (GGA-PBE)

Data for a geometry-optimized NiOsAu2 structure.

Calculated values
Fermi-level density of states: 1.40 states/eV per atom

```
data_NiOsAu2
_chemical_formula_sum 'Ni3 Os3 Au6'
_symmetry_space_group_name_H-M 'R 3 m'
_symmetry_Int_Tables_number 160
_symmetry_space_group_name_Hall 'R 3 -2"'
_cell_length_a 2.7917
_cell_length_b 2.7917
_cell_length_c 27.5391
_cell_angle_alpha 90.00
_cell_angle_beta 90.00
_cell_angle_gamma 120.00
loop_
_atom_site_label
_atom_site_fract_x
_atom_site_fract_y
_atom_site_fract_z
Ni1 0.0000 0.0000 0.0000
Os1 0.0000 0.0000 0.7365
Au1 0.0000 0.0000 0.2532
Au2 0.0000 0.0000 0.4917
```


<Q>
## NiOsAu2 (GGA-PBE)

Data for a geometry-optimized NiOsAu2 structure.

Calculated values
Fermi-level density of states: 1.25 states/eV per atom

```
data_NiOsAu2
_chemical_formula_sum 'Ni2 Os2 Au4'
_symmetry_space_group_name_H-M 'I 4/m m m'
_symmetry_Int_Tables_number 139
_symmetry_space_group_name_Hall '-I 4 2'
_cell_length_a 4.013
_cell_length_b 4.013
_cell_length_c 7.651
_cell_angle_alpha 90.00
_cell_angle_beta 90.00
_cell_angle_gamma 90.00
loop_
_atom_site_label
_atom_site_fract_x
_atom_site_fract_y
_atom_site_fract_z
Ni1 0.000 0.000 0.000
Os1 0.000 0.000 0.500
Au1 0.000 0.500 0.250
```


<R>
## NiOsAu2 (GGA-PBE)

Data for a geometry-optimized NiOsAu2 structure.

Calculated values
Fermi-level density of states: 1.04 states/eV per atom

```
data_NiOsAu2
_chemical_formula_sum 'Ni4 Os4 Au8'
_symmetry_space_group_name_H-M 'I -4 2 d'
_symmetry_Int_Tables_number 122
_symmetry_space_group_name_Hall 'I -4 2bw'
_cell_length_a 3.772
_cell_length_b 3.772
_cell_length_c 19.005
_cell_angle_alpha 90.00
_cell_angle_beta 90.00
_cell_angle_gamma 90.00
loop_
_atom_site_label
_atom_site_fract_x
_atom_site_fract_y
_atom_site_fract_z
Ni1 0.000 0.000 0.000
Os1 0.000 0.000 0.500
Au1 0.248 0.250 0.125
```


<S>
## NiOsAu2 (GGA-PBE)

Data for a geometry-optimized NiOsAu2 structure.

Calculated values
Fermi-level density of states: 1.28 states/eV per atom

```
data_NiOsAu2
_chemical_formula_sum 'Ni1 Os1 Au2'
_symmetry_space_group_name_H-M 'P 1 2/m 1'
_symmetry_Int_Tables_number 10
_symmetry_space_group_name_Hall '-P 2y'
_cell_length_a 4.917
_cell_length_b 2.720
_cell_length_c 4.928
_cell_angle_alpha 90.00
_cell_angle_beta 110.52
_cell_angle_gamma 90.00
loop_
_atom_site_label
_atom_site_fract_x
_atom_site_fract_y
_atom_site_fract_z
Ni1 0.000 0.000 0.000
Os1 0.000 0.500 0.500
Au1 0.500 0.000 0.500
Au2 0.500 0.500 0.000
```


Preferred: <P>; penalty for the next structure: 231 meV per atom.


<P>
## NiOsAu2 (GGA-PBE)

Data for a geometry-optimized NiOsAu2 structure.

Calculated values
Fermi-level density of states: 0.93 states/eV per atom

```
data_NiOsAu2
_chemical_formula_sum 'Ni4 Os4 Au8'
_symmetry_space_group_name_H-M 'F -4 3 m'
_symmetry_Int_Tables_number 216
_symmetry_space_group_name_Hall 'F -4 2 3'
_cell_length_a 6.302
_cell_length_b 6.302
_cell_length_c 6.302
_cell_angle_alpha 90.00
_cell_angle_beta 90.00
_cell_angle_gamma 90.00
loop_
_atom_site_label
_atom_site_fract_x
_atom_site_fract_y
_atom_site_fract_z
Ni1 0.000 0.000 0.000
Os1 0.250 0.250 0.250
Au1 0.000 0.000 0.500
Au2 0.250 0.250 0.750
```


<Q>
## NiOsAu2 (GGA-PBE)

Data for a geometry-optimized NiOsAu2 structure.

Calculated values
Fermi-level density of states: 1.33 states/eV per atom

```
data_NiOsAu2
_chemical_formula_sum 'Ni1 Os1 Au2'
_symmetry_space_group_name_H-M 'P 4/m m m'
_symmetry_Int_Tables_number 123
_symmetry_space_group_name_Hall '-P 4 2'
_cell_length_a 2.779
_cell_length_b 2.779
_cell_length_c 7.911
_cell_angle_alpha 90.00
_cell_angle_beta 90.00
_cell_angle_gamma 90.00
loop_
_atom_site_label
_atom_site_fract_x
_atom_site_fract_y
_atom_site_fract_z
Ni1 0.000 0.000 0.000
Os1 0.000 0.000 0.500
Au1 0.500 0.500 0.237
```


Preferred: <Q>; penalty for the next structure: 146 meV per atom.


<P>
## NiOsAu2 (GGA-PBE)

Data for a geometry-optimized NiOsAu2 structure.

Calculated values
Fermi-level density of states: 1.21 states/eV per atom

```
data_NiOsAu2
_chemical_formula_sum 'Ni2 Os2 Au4'
_symmetry_space_group_name_H-M 'I -4 m 2'
_symmetry_Int_Tables_number 119
_symmetry_space_group_name_Hall 'I -4 -2'
_cell_length_a 3.965
_cell_length_b 3.965
_cell_length_c 7.867
_cell_angle_alpha 90.00
_cell_angle_beta 90.00
_cell_angle_gamma 90.00
loop_
_atom_site_label
_atom_site_fract_x
_atom_site_fract_y
_atom_site_fract_z
Ni1 0.000 0.000 0.000
Os1 0.000 0.500 0.750
Au1 0.000 0.000 0.500
Au2 0.000 0.500 0.250
```


<Q>
## NiOsAu2 (GGA-PBE)

Data for a geometry-optimized NiOsAu2 structure.

Calculated values
Fermi-level density of states: 0.50 states/eV per atom

```
data_NiOsAu2
_chemical_formula_sum 'Ni4 Os4 Au8'
_symmetry_space_group_name_H-M 'F m -3 m'
_symmetry_Int_Tables_number 225
_symmetry_space_group_name_Hall '-F 4 2 3'
_cell_length_a 6.303
_cell_length_b 6.303
_cell_length_c 6.303
_cell_angle_alpha 90.00
_cell_angle_beta 90.00
_cell_angle_gamma 90.00
loop_
_atom_site_label
_atom_site_fract_x
_atom_site_fract_y
_atom_site_fract_z
Ni1 0.000 0.000 0.000
Os1 0.000 0.000 0.500
Au1 0.250 0.250 0.250
```


Preferred: <P>; penalty for the next structure: 70 meV per atom.


<P>
## NiOsAu2 (GGA-PBE)

Data for a geometry-optimized NiOsAu2 structure.

Calculated values
Fermi-level density of states: 1.19 states/eV per atom

```
data_NiOsAu2
_chemical_formula_sum 'Ni2 Os2 Au4'
_symmetry_space_group_name_H-M 'C 1 2/m 1'
_symmetry_Int_Tables_number 12
_symmetry_space_group_name_Hall '-C 2y'
_cell_length_a 9.284
_cell_length_b 2.731
_cell_length_c 4.929
_cell_angle_alpha 90.00
_cell_angle_beta 99.42
_cell_angle_gamma 90.00
loop_
_atom_site_label
_atom_site_fract_x
_atom_site_fract_y
_atom_site_fract_z
Ni1 0.000 0.000 0.000
Os1 0.000 0.500 0.500
Au1 0.249 0.500 0.247
```


<Q>
## NiOsAu2 (GGA-PBE)

Data for a geometry-optimized NiOsAu2 structure.

Calculated values
Fermi-level density of states: 1.28 states/eV per atom

```
data_NiOsAu2
_chemical_formula_sum 'Ni1 Os1 Au2'
_symmetry_space_group_name_H-M 'P m m m'
_symmetry_Int_Tables_number 47
_symmetry_space_group_name_Hall '-P 2 2'
_cell_length_a 2.738
_cell_length_b 4.760
_cell_length_c 4.829
_cell_angle_alpha 90.00
_cell_angle_beta 90.00
_cell_angle_gamma 90.00
loop_
_atom_site_label
_atom_site_fract_x
_atom_site_fract_y
_atom_site_fract_z
Ni1 0.000 0.000 0.000
Os1 0.500 0.500 0.000
Au1 0.000 0.500 0.500
Au2 0.500 0.000 0.500
```


Preferred: <P>; penalty for the next structure: 76 meV per atom.


<P>
## NiOsAu2 (GGA-PBE)

Data for a geometry-optimized NiOsAu2 structure.

Calculated values
Fermi-level density of states: 1.23 states/eV per atom

```
data_NiOsAu2
_chemical_formula_sum 'Ni2 Os2 Au4'
_symmetry_space_group_name_H-M 'I m m m'
_symmetry_Int_Tables_number 71
_symmetry_space_group_name_Hall '-I 2 2'
_cell_length_a 2.744
_cell_length_b 4.772
_cell_length_c 9.497
_cell_angle_alpha 90.00
_cell_angle_beta 90.00
_cell_angle_gamma 90.00
loop_
_atom_site_label
_atom_site_fract_x
_atom_site_fract_y
_atom_site_fract_z
Ni1 0.000 0.000 0.000
Os1 0.000 0.000 0.500
Au1 0.000 0.500 0.262
```


<Q>
## NiOsAu2 (GGA-PBE)

Data for a geometry-optimized NiOsAu2 structure.

Calculated values
Fermi-level density of states: 0.90 states/eV per atom

```
data_NiOsAu2
_chemical_formula_sum 'Ni1 Os1 Au2'
_symmetry_space_group_name_H-M 'P 4 m m'
_symmetry_Int_Tables_number 99
_symmetry_space_group_name_Hall 'P 4 -2'
_cell_length_a 2.774
_cell_length_b 2.774
_cell_length_c 7.983
_cell_angle_alpha 90.00
_cell_angle_beta 90.00
_cell_angle_gamma 90.00
loop_
_atom_site_label
_atom_site_fract_x
_atom_site_fract_y
_atom_site_fract_z
Ni1 0.000 0.000 0.000
Os1 0.500 0.500 0.198
Au1 0.000 0.000 0.467
Au2 0.500 0.500 0.757
```


<R>
## NiOsAu2 (GGA-PBE)

Data for a geometry-optimized NiOsAu2 structure.

Calculated values
Fermi-level density of states: 1.19 states/eV per atom

```
data_NiOsAu2
_chemical_formula_sum 'Ni2 Os2 Au4'
_symmetry_space_group_name_H-M 'C 1 m 1'
_symmetry_Int_Tables_number 8
_symmetry_space_group_name_Hall 'C -2y'
_cell_length_a 9.289
_cell_length_b 2.745
_cell_length_c 4.944
_cell_angle_alpha 90.00
_cell_angle_beta 101.05
_cell_angle_gamma 90.00
loop_
_atom_site_label
_atom_site_fract_x
_atom_site_fract_y
_atom_site_fract_z
Ni1 0.000 0.000 0.000
Os1 0.274 0.000 0.789
Au1 0.017 0.500 0.532
Au2 0.252 0.500 0.263
```


Preferred: <Q>; penalty for the next structure: 168 meV per atom.


<P>
## NiP2Au (GGA-PBE)

Data for a geometry-optimized NiP2Au structure.

Calculated values
Fermi-level density of states: 0.33 states/eV per atom

```
data_NiP2Au
_chemical_formula_sum 'Ni1 P2 Au1'
_symmetry_space_group_name_H-M 'P 1 m 1'
_symmetry_Int_Tables_number 6
_symmetry_space_group_name_Hall 'P -2y'
_cell_length_a 4.059
_cell_length_b 3.282
_cell_length_c 4.920
_cell_angle_alpha 90.00
_cell_angle_beta 114.23
_cell_angle_gamma 90.00
loop_
_atom_site_label
_atom_site_fract_x
_atom_site_fract_y
_atom_site_fract_z
Ni1 0.000 0.000 0.000
P1 0.152 0.000 0.603
P2 0.578 0.500 0.717
Au1 0.605 0.500 0.230
```


<Q>
## NiP2Au (GGA-PBE)

Data for a geometry-optimized NiP2Au structure.

Calculated values
Fermi-level density of states: 0.76 states/eV per atom

```
data_NiP2Au
_chemical_formula_sum 'Ni4 P8 Au4'
_symmetry_space_group_name_H-M 'I -4 2 d'
_symmetry_Int_Tables_number 122
_symmetry_space_group_name_Hall 'I -4 2bw'
_cell_length_a 5.345
_cell_length_b 5.345
_cell_length_c 10.425
_cell_angle_alpha 90.00
_cell_angle_beta 90.00
_cell_angle_gamma 90.00
loop_
_atom_site_label
_atom_site_fract_x
_atom_site_fract_y
_atom_site_fract_z
Ni1 0.000 0.000 0.000
P1 0.204 0.250 0.125
Au1 0.000 0.000 0.500
```


Preferred: <P>; penalty for the next structure: 15 meV per atom.


<P>
## NiP2Au (GGA-PBE)

Data for a geometry-optimized NiP2Au structure.

Calculated values
Fermi-level density of states: 0.55 states/eV per atom

```
data_NiP2Au
_chemical_formula_sum 'Ni1 P2 Au1'
_symmetry_space_group_name_H-M 'P 4/m m m'
_symmetry_Int_Tables_number 123
_symmetry_space_group_name_Hall '-P 4 2'
_cell_length_a 2.648
_cell_length_b 2.648
_cell_length_c 9.684
_cell_angle_alpha 90.00
_cell_angle_beta 90.00
_cell_angle_gamma 90.00
loop_
_atom_site_label
_atom_site_fract_x
_atom_site_fract_y
_atom_site_fract_z
Ni1 0.000 0.000 0.000
P1 0.500 0.500 0.163
Au1 0.000 0.000 0.500
```


<Q>
## NiP2Au (GGA-PBE)

Data for a geometry-optimized NiP2Au structure.

Calculated values
Fermi-level density of states: 0.39 states/eV per atom

```
data_NiP2Au
_chemical_formula_sum 'Ni2 P4 Au2'
_symmetry_space_group_name_H-M 'I -4 m 2'
_symmetry_Int_Tables_number 119
_symmetry_space_group_name_Hall 'I -4 -2'
_cell_length_a 3.771
_cell_length_b 3.771
_cell_length_c 8.226
_cell_angle_alpha 90.00
_cell_angle_beta 90.00
_cell_angle_gamma 90.00
loop_
_atom_site_label
_atom_site_fract_x
_atom_site_fract_y
_atom_site_fract_z
Ni1 0.000 0.000 0.000
P1 0.000 0.000 0.500
P2 0.000 0.500 0.750
Au1 0.000 0.500 0.250
```


<R>
## NiP2Au (GGA-PBE)

Data for a geometry-optimized NiP2Au structure.

Calculated values
Fermi-level density of states: 0.30 states/eV per atom

```
data_NiP2Au
_chemical_formula_sum 'Ni1 P2 Au1'
_symmetry_space_group_name_H-M 'P 4/m m m'
_symmetry_Int_Tables_number 123
_symmetry_space_group_name_Hall '-P 4 2'
_cell_length_a 4.111
_cell_length_b 4.111
_cell_length_c 3.479
_cell_angle_alpha 90.00
_cell_angle_beta 90.00
_cell_angle_gamma 90.00
loop_
_atom_site_label
_atom_site_fract_x
_atom_site_fract_y
_atom_site_fract_z
Ni1 0.000 0.000 0.000
P1 0.000 0.500 0.500
Au1 0.500 0.500 0.000
```


Preferred: <P>; penalty for the next structure: 181 meV per atom.


<P>
## Ni2P2Au (GGA-PBE)

Data for a geometry-optimized Ni2P2Au structure.

Calculated values
Fermi-level density of states: 0.51 states/eV per atom

```
data_Ni2P2Au
_chemical_formula_sum 'Ni4 P4 Au2'
_symmetry_space_group_name_H-M 'P 4/m b m'
_symmetry_Int_Tables_number 127
_symmetry_space_group_name_Hall '-P 4 2ab'
_cell_length_a 7.020
_cell_length_b 7.020
_cell_length_c 2.747
_cell_angle_alpha 90.00
_cell_angle_beta 90.00
_cell_angle_gamma 90.00
loop_
_atom_site_label
_atom_site_fract_x
_atom_site_fract_y
_atom_site_fract_z
Ni1 0.130 0.370 0.000
P1 0.155 0.655 0.500
Au1 0.000 0.000 0.500
```


<Q>
## Ni2P2Au (GGA-PBE)

Data for a geometry-optimized Ni2P2Au structure.

Calculated values
Fermi-level density of states: 0.54 states/eV per atom

```
data_Ni2P2Au
_chemical_formula_sum 'Ni4 P4 Au2'
_symmetry_space_group_name_H-M 'I 4/m m m'
_symmetry_Int_Tables_number 139
_symmetry_space_group_name_Hall '-I 4 2'
_cell_length_a 3.518
_cell_length_b 3.518
_cell_length_c 11.176
_cell_angle_alpha 90.00
_cell_angle_beta 90.00
_cell_angle_gamma 90.00
loop_
_atom_site_label
_atom_site_fract_x
_atom_site_fract_y
_atom_site_fract_z
Ni1 0.000 0.000 0.121
P1 0.000 0.500 0.250
Au1 0.000 0.000 0.500
```


Preferred: <Q>; penalty for the next structure: 64 meV per atom.